1.
Here is a geometry-optimized Ho4B2I5 structure from Alexandria via LeMat-Bulk. Energies are from PBE.

Values from the calculation:
Final energy ... -4.508 eV per atom
Space group ... Immm (71)

Lattice parameters (Å, degrees): 3.980 8.493 11.938 110.84 99.60 90.00
Fractional positions:
Ho 0.000 0.313 0.000
Ho 0.640 0.640 0.281
Ho 0.000 0.687 0.000
Ho 0.360 0.360 0.719
B 0.464 0.464 0.928
B 0.536 0.536 0.072
I 0.846 0.080 0.691
I 0.846 0.611 0.691
I 0.154 0.389 0.309
I 0.154 0.920 0.309
I 0.500 0.000 0.000

---

2.
Here is a geometry-optimized HoBI structure from Alexandria via LeMat-Bulk. Energies are from PBE.

Values from the calculation:
Final energy ... -5.004 eV per atom
Space group ... R-3m (166)

Lattice parameters (Å, degrees): 3.646 3.646 12.414 81.56 81.56 60.00
Fractional positions:
Ho 0.548 0.548 0.356
Ho 0.452 0.452 0.644
I 0.274 0.274 0.177
I 0.726 0.726 0.823
B 0.836 0.836 0.491
B 0.164 0.164 0.509

---

3.
Here is a geometry-optimized Ho2InB2Ir5 structure from Alexandria via LeMat-Bulk. Energies are from PBE.

Values from the calculation:
Final energy ... -7.649 eV per atom
Space group ... P4/mbm (127)
Formation energy from the elements ... -0.694 eV/atom

Lattice parameters (Å, degrees): 3.217 9.726 9.726 90.00 90.00 90.00
Fractional positions:
Ho 0.000 0.677 0.177
Ho 0.000 0.323 0.823
Ho 0.000 0.177 0.323
Ho 0.000 0.823 0.677
In 0.000 0.000 0.000
In 0.000 0.500 0.500
B 0.000 0.120 0.620
B 0.000 0.880 0.380
B 0.000 0.620 0.880
B 0.000 0.380 0.120
Ir 0.500 0.227 0.070
Ir 0.500 0.773 0.930
Ir 0.500 0.070 0.773
Ir 0.500 0.727 0.430
Ir 0.500 0.930 0.227
Ir 0.500 0.273 0.570
Ir 0.500 0.570 0.727
Ir 0.500 0.430 0.273
Ir 0.500 0.500 0.000
Ir 0.500 0.000 0.500

---

4.
Here is a geometry-optimized Ho3InB2Rh9 structure from Alexandria via LeMat-Bulk. Energies are from PBE.

Values from the calculation:
Final energy ... -6.948 eV per atom
Space group ... P-3m1 (164)
Formation energy from the elements ... -0.549 eV/atom

Lattice parameters (Å, degrees): 5.825 5.825 8.988 90.00 90.00 120.00
Fractional positions:
Ho 0.333 0.667 0.704
Ho 0.000 0.000 0.000
Ho 0.667 0.333 0.296
In 0.000 0.000 0.500
B 0.333 0.667 0.145
B 0.667 0.333 0.855
Rh 0.839 0.161 0.738
Rh 0.839 0.678 0.738
Rh 0.322 0.161 0.738
Rh 0.678 0.839 0.262
Rh 0.161 0.322 0.262
Rh 0.161 0.839 0.262
Rh 0.500 0.000 0.000
Rh 0.000 0.500 0.000
Rh 0.500 0.500 0.000

---

5.
Here is a geometry-optimized Ho2In2BRh4 structure from Alexandria via LeMat-Bulk. Energies are from PBE.

Values from the calculation:
Final energy ... -6.160 eV per atom
Space group ... I4/mmm (139)
Formation energy from the elements ... -0.525 eV/atom

Lattice parameters (Å, degrees): 6.055 6.055 6.055 91.98 118.87 118.87
Fractional positions:
Ho 0.000 0.703 0.703
Ho 0.000 0.297 0.297
In 0.500 0.750 0.250
In 0.500 0.250 0.750
B 0.000 0.000 0.000
Rh 0.000 0.762 0.238
Rh 0.523 0.762 0.762
Rh 0.000 0.238 0.762
Rh 0.477 0.238 0.238

---

6.
Here is a geometry-optimized Ho2InB2Ru5 structure from Alexandria via LeMat-Bulk. Energies are from PBE.

Values from the calculation:
Final energy ... -7.575 eV per atom
Space group ... P4/mbm (127)
Formation energy from the elements ... -0.412 eV/atom

Lattice parameters (Å, degrees): 3.149 9.747 9.747 90.00 90.00 90.00
Fractional positions:
Ho 0.000 0.677 0.177
Ho 0.000 0.323 0.823
Ho 0.000 0.177 0.323
Ho 0.000 0.823 0.677
In 0.000 0.000 0.000
In 0.000 0.500 0.500
B 0.000 0.122 0.622
B 0.000 0.878 0.378
B 0.000 0.622 0.878
B 0.000 0.378 0.122
Ru 0.500 0.227 0.070
Ru 0.500 0.773 0.930
Ru 0.500 0.070 0.773
Ru 0.500 0.727 0.430
Ru 0.500 0.930 0.227
Ru 0.500 0.273 0.570
Ru 0.500 0.570 0.727
Ru 0.500 0.430 0.273
Ru 0.500 0.500 0.000
Ru 0.500 0.000 0.500